Entry 1:
ZrTa2Au | Alexandria via LeMat-Bulk | PBE | optimized geometry; E above lowest polymorph = 0.050 eV/atom; space-group type = Cmm2; raw total energy = -8.962 eV per atom; crystal system = orthorhombic
1.0
1.7993 -2.3159 0.0000
1.7993 2.3159 0.0000
0.0000 0.0000 9.1455
Zr Ta Au
1 2 1
direct
0.0000 0.0000 0.0000
0.0000 0.0000 0.5009
0.5000 0.5000 0.7406
0.5000 0.5000 0.2586

Entry 2:
ZrTa2Au | Alexandria via LeMat-Bulk | PBE | optimized geometry; E above lowest polymorph = 0.078 eV/atom; space-group type = Pmmm; raw total energy = -8.935 eV per atom; crystal system = orthorhombic
1.0
3.4817 0.0000 0.0000
0.0000 4.5900 0.0000
0.0000 0.0000 4.7319
Zr Ta Au
1 2 1
direct
0.0000 0.0000 0.0000
0.0000 0.5000 0.5000
0.5000 0.0000 0.5000
0.5000 0.5000 0.0000

no.,DOS at the Fermi energy (states/eV/f.u.),energy of formation from the pure elements (meV per atom)
1,4.09,-79
2,3.98,-52